1.
Density functional theory data (PBE) for Tm4NpGa15 after structural relaxation.

Computed properties:
ΔE_f in eV/atom: -0.46
Space-group type: P4/mmm (123)
DFT total energy in eV per cell: -85.330

Unit cell a=4.2402 b=4.2402 c=21.2062 alpha=90.00 beta=90.00 gamma=90.00
With the nearest neighbours (Å) after each atom.
Element x y z (fractional)
1 Ga 0.5000 0.5000 0.0000  4 Np 3.00, 8 Ga 3.00
2 Tm 0.0000 0.0000 0.2009  12 Ga 2.99-3.01
3 Ga 0.0000 0.5000 0.6996  4 Tm 2.99-3.00, 8 Ga 3.00
4 Ga 0.5000 0.0000 0.1003  8 Ga 3.00, 2 Np 3.00, 2 Tm 3.01
5 Ga 0.5000 0.5000 0.2005  8 Ga 3.00, 4 Tm 3.00
6 Tm 0.0000 0.0000 0.5998  12 Ga 3.00
7 Ga 0.5000 0.0000 0.8997  8 Ga 3.00, 2 Np 3.00, 2 Tm 3.01
8 Tm 0.0000 0.0000 0.4002  12 Ga 3.00
9 Ga 0.5000 0.0000 0.5000  8 Ga 2.99-3.00, 4 Tm 3.00
10 Ga 0.5000 0.5000 0.4006  8 Ga 2.99-3.00, 4 Tm 3.00
11 Ga 0.5000 0.5000 0.7995  8 Ga 3.00, 4 Tm 3.00
12 Ga 0.0000 0.5000 0.1003  8 Ga 3.00, 2 Np 3.00, 2 Tm 3.01
13 Ga 0.5000 0.0000 0.3004  4 Tm 2.99-3.00, 8 Ga 3.00
14 Ga 0.0000 0.5000 0.5000  8 Ga 2.99-3.00, 4 Tm 3.00
15 Ga 0.0000 0.5000 0.8997  8 Ga 3.00, 2 Np 3.00, 2 Tm 3.01
16 Np 0.0000 0.0000 0.0000  12 Ga 3.00
17 Ga 0.5000 0.0000 0.6996  4 Tm 2.99-3.00, 8 Ga 3.00
18 Tm 0.0000 0.0000 0.7991  12 Ga 2.99-3.01
19 Ga 0.0000 0.5000 0.3004  4 Tm 2.99-3.00, 8 Ga 3.00
20 Ga 0.5000 0.5000 0.5994  8 Ga 2.99-3.00, 4 Tm 3.00


2.
Density functional theory data (PBE) for CsTlGeSe4 after structural relaxation.

Computed properties:
Space-group type: P2_1/m (11)
DFT total energy in eV per cell: -50.461
Uncorrected formation energy in eV/atom: -0.494

Unit cell a=6.7665 b=7.8864 c=9.8306 alpha=90.00 beta=103.50 gamma=90.00
With the nearest neighbours (Å) after each atom.
Element x y z (fractional)
1 Se 0.6740 0.2500 0.8805  1 Ge 2.39
2 Se 0.4255 0.7500 0.5171  1 Ge 2.42, 1 Tl 2.65
3 Se 0.5745 0.2500 0.4829  1 Ge 2.42, 1 Tl 2.65
4 Se 0.0677 0.4885 0.7110  1 Ge 2.39
5 Ge 0.1553 0.7500 0.3069  4 Se 2.39-2.42
6 Se 0.3260 0.7500 0.1195  1 Ge 2.39
7 Se 0.9323 0.9885 0.2890  1 Ge 2.39
8 Cs 0.2468 0.2500 0.0845  9 Se 3.85-4.05, 1 Ge 4.16
9 Cs 0.7532 0.7500 0.9155  9 Se 3.85-4.05, 1 Ge 4.16
10 Ge 0.8447 0.2500 0.6931  4 Se 2.39-2.42
11 Se 0.9323 0.5115 0.2890  1 Ge 2.39
12 Tl 0.6696 0.7500 0.3416  4 Se 2.65-2.79
13 Tl 0.3304 0.2500 0.6584  4 Se 2.65-2.79
14 Se 0.0677 0.0115 0.7110  1 Ge 2.39


3.
Density functional theory data (PBE) for Np2GaNi4P3 after structural relaxation.

Computed properties:
ΔE_f in eV/atom: -0.63
Space-group type: P-4m2 (115)
DFT total energy in eV per cell: -74.607

Unit cell a=3.9371 b=3.9371 c=9.4745 alpha=90.00 beta=90.00 gamma=90.00
With the nearest neighbours (Å) after each atom.
Element x y z (fractional)
1 P 0.0000 0.5000 0.1317  5 Ni 2.23-2.33
2 Np 0.0000 0.5000 0.7563  6 P 2.98-3.13, 8 Ni 3.02-3.03, 2 Ga 3.13
3 Ni 0.0000 0.5000 0.3671  3 P 2.23-2.34, 2 Ga 2.34
4 Ni 0.5000 0.0000 0.6329  3 P 2.23-2.34, 2 Ga 2.34
5 P 0.0000 0.0000 0.5000  4 Ni 2.34
6 Ni 0.0000 0.0000 0.0000  4 P 2.33
7 Ga 0.5000 0.5000 0.5000  4 Ni 2.34
8 Np 0.5000 0.0000 0.2437  6 P 2.98-3.13, 8 Ni 3.02-3.03, 2 Ga 3.13
9 P 0.5000 0.0000 0.8683  5 Ni 2.23-2.33
10 Ni 0.5000 0.5000 0.0000  4 P 2.33


4.
Density functional theory data (PBE) for ZnIrRu2 after structural relaxation.

Computed properties:
ΔE_f in eV/atom: 0.03
Space-group type: Pm (6)
DFT total energy in eV per cell: -28.562

Unit cell a=3.7998 b=2.7524 c=6.0406 alpha=63.03 beta=90.00 gamma=90.00
With the nearest neighbours (Å) after each atom.
Element x y z (fractional)
1 Ru 0.5000 0.2556 0.2458  6 Ru 2.67-2.75, 2 Ir 2.69-2.70, 4 Zn 2.72
2 Zn 0.0000 0.4982 0.5018  6 Ru 2.66-2.72, 4 Ir 2.68-2.69, 2 Zn 2.75
3 Ru 0.0000 0.9924 0.0075  2 Zn 2.66-2.72, 6 Ru 2.67-2.75, 4 Ir 2.74
4 Ir 0.5000 0.7539 0.7449  4 Zn 2.68-2.69, 6 Ru 2.69-2.74, 2 Ir 2.75


5.
Density functional theory data (PBE) for ScSbS after structural relaxation.

Computed properties:
Space-group type: Pm (6)
DFT total energy in eV per cell: -33.829
Uncorrected formation energy in eV/atom: -0.778

Unit cell a=3.8476 b=6.9168 c=8.7606 alpha=130.04 beta=90.00 gamma=90.00
With the nearest neighbours (Å) after each atom.
Element x y z (fractional)
1 Sb 0.0000 0.9487 0.4362  2 Sb 2.81, 2 Sc 2.90-3.10
2 Sc 0.0000 0.1029 0.1973  3 S 2.34-2.51
3 S 0.0000 0.6733 0.9157  2 Sc 2.34-2.39
4 S 0.5000 0.3229 0.1816  4 Sc 2.51-2.76
5 Sb 0.5000 0.9881 0.6895  2 Sb 2.81, 2 Sc 3.13
6 Sc 0.0000 0.4216 0.0139  1 S 2.39


6.
Density functional theory data (PBE) for Rb2NpAlSe5 after structural relaxation.

Computed properties:
Space-group type: Cmc2_1 (36)
DFT total energy in eV per cell: -90.827
Uncorrected formation energy in eV/atom: -1.041

Unit cell a=4.1296 b=10.2335 c=14.8523 alpha=90.00 beta=90.00 gamma=101.64
With the nearest neighbours (Å) after each atom.
Element x y z (fractional)
1 Np 0.7985 0.5970 0.5247  6 Se 2.60-2.88
2 Rb 0.1265 0.2529 0.3250  7 Se 3.42-3.81
3 Se 0.0580 0.1159 0.0220  2 Al 2.54
4 Rb 0.8805 0.7610 0.1862  5 Se 3.44-3.66
5 Se 0.3304 0.6609 0.0086  1 Np 2.60
6 Rb 0.1195 0.2390 0.6862  5 Se 3.44-3.66
7 Se 0.5075 0.0149 0.7938  1 Al 2.29
8 Se 0.9420 0.8841 0.5220  2 Al 2.54
9 Al 0.5691 0.1382 0.9240  4 Se 2.29-2.54
10 Se 0.2997 0.5994 0.6478  2 Np 2.76
11 Se 0.6901 0.3802 0.8919  1 Al 2.47
12 Se 0.4925 0.9851 0.2938  1 Al 2.29
13 Se 0.7003 0.4006 0.1478  2 Np 2.76
14 Al 0.4309 0.8618 0.4240  4 Se 2.29-2.54
15 Se 0.3099 0.6198 0.3919  1 Al 2.47
16 Np 0.2015 0.4030 0.0247  6 Se 2.60-2.88
17 Rb 0.8735 0.7471 0.8250  7 Se 3.42-3.81
18 Se 0.6696 0.3391 0.5086  1 Np 2.60


7.
Density functional theory data (PBE) for TlCd3InHg after structural relaxation.

Computed properties:
ΔE_f in eV/atom: 0.06
Space-group type: C2/m (12)
DFT total energy in eV per cell: -15.632

Unit cell a=5.9194 b=9.1170 c=6.3477 alpha=95.05 beta=90.00 gamma=108.94
With the nearest neighbours (Å) after each atom.
Element x y z (fractional)
1 Tl 0.6664 0.3329 0.9898  2 In 3.16-3.18, 8 Cd 3.16-3.45
2 Cd 0.1691 0.3381 0.2200  1 Hg 2.95, 2 Cd 3.12-3.22, 1 In 3.21, 3 Tl 3.24-3.30
3 Hg 0.0008 0.0015 0.7519  4 Cd 2.94-2.96, 2 Hg 3.15-3.19
4 Tl 0.3336 0.6671 0.0102  2 In 3.16-3.18, 8 Cd 3.16-3.45
5 Cd 0.5022 0.0044 0.2540  2 Hg 2.96, 1 In 3.11, 2 Cd 3.13-3.22, 1 Tl 3.16
6 Cd 0.8306 0.6612 0.2878  1 Hg 2.94, 2 Cd 3.12-3.22, 3 In 3.19-3.27, 1 Tl 3.26
7 Cd 0.4978 0.9956 0.7460  2 Hg 2.96, 1 In 3.11, 2 Cd 3.13-3.22, 1 Tl 3.16
8 Cd 0.8309 0.6619 0.7800  1 Hg 2.95, 2 Cd 3.12-3.22, 1 In 3.21, 3 Tl 3.24-3.30
9 Cd 0.1694 0.3388 0.7122  1 Hg 2.94, 2 Cd 3.12-3.22, 3 In 3.19-3.27, 1 Tl 3.26
10 In 0.6681 0.3362 0.4918  8 Cd 3.11-3.48, 2 Tl 3.16-3.18
11 In 0.3319 0.6638 0.5082  8 Cd 3.11-3.48, 2 Tl 3.16-3.18
12 Hg 0.9992 0.9985 0.2481  4 Cd 2.94-2.96, 2 Hg 3.15-3.19


8.
Density functional theory data (PBE) for PrYPa2As4 after structural relaxation.

Computed properties:
ΔE_f in eV/atom: -1.28
Space-group type: P2/m (10)
DFT total energy in eV per cell: -59.042

Unit cell a=4.1481 b=7.1874 c=7.1919 alpha=109.44 beta=90.00 gamma=90.00
With the nearest neighbours (Å) after each atom.
Element x y z (fractional)
1 Pr 0.0000 0.0000 0.0000  6 As 2.99-3.00
2 Pa 0.5000 0.0000 0.5000  6 As 2.92
3 Pa 0.0000 0.5000 0.5000  6 As 2.87
4 Y 0.5000 0.5000 0.0000  6 As 2.95
5 As 0.5000 0.2590 0.2619  3 Pa 2.87-2.92, 1 Y 2.95, 2 Pr 3.00
6 As 0.0000 0.2522 0.7420  3 Pa 2.87-2.92, 2 Y 2.95, 1 Pr 2.99
7 As 0.0000 0.7478 0.2580  3 Pa 2.87-2.92, 2 Y 2.95, 1 Pr 2.99
8 As 0.5000 0.7410 0.7381  3 Pa 2.87-2.92, 1 Y 2.95, 2 Pr 3.00